First-principles (PBE) data for Cd2SbAu2 after structural relaxation, as listed in Alexandria via LeMat-Bulk.

a = 3.938 Å, b = 3.938 Å, c = 7.934 Å
α = 75.63°, β = 75.63°, γ = 90.00°
Sites, in units of the cell vectors:
1 Sb 0.000 0.000 0.000
2 Au 0.750 0.250 0.500
3 Au 0.250 0.750 0.500
4 Cd 0.396 0.396 0.208
5 Cd 0.604 0.604 0.792

Properties
Calculated volume ... 115 Å³/cell
E ... -2.4912 eV/atom
E_form (uncorrected) ... 0.010 eV per atom
Crystal system ... tetragonal



First-principles (PBE) data for CdSbAu3 after structural relaxation, as listed in Alexandria via LeMat-Bulk.

a = 5.114 Å, b = 5.114 Å, c = 5.114 Å
α = 90.00°, β = 90.00°, γ = 90.00°
Sites, in units of the cell vectors:
1 Sb 0.500 0.500 0.500
2 Au 0.000 0.500 0.000
3 Au 0.000 0.000 0.500
4 Au 0.500 0.000 0.000
5 Cd 0.000 0.000 0.000

Properties
Calculated volume ... 134 Å³/cell
E ... -2.3083 eV/atom
E_form (uncorrected) ... 0.666 eV per atom
Crystal system ... cubic